TlSnB3: relaxed, PBE.

```
TlSnB3
1.0
4.6082 0.0000 0.0000
0.0000 4.6082 0.0000
0.0000 0.0000 4.6082
Tl Sn B
1 1 3
direct
0.0000 0.0000 0.0000
0.5000 0.5000 0.5000
0.0000 0.5000 0.5000
0.5000 0.0000 0.5000
0.5000 0.5000 0.0000
```

Output
offset from the most stable computed form	0.0	meV/atom
SG	Pm-3m
energy relative to the elements	46.1	kcal/mol of atoms
magnetic moment	0.000	μB/atom
VASP energy	-16.402	eV per cell